A relaxed BeHg2Pt crystal. Source: Alexandria, functional PBEsol.

a b c (Å): 5.440 5.440 3.014
angles (deg): 104.26 104.26 118.69
Fractional positions:
Be: 0.000 0.000 0.000
Hg: 0.000 0.500 0.000
Hg: 0.500 0.000 0.000
Pt: 0.500 0.500 0.000

M_tot = 0.00 μB/cell
energy above the lowest structure with this stoichiometry = 387 meV per atom
calculated formation energy = 0.26 eV per atom
symmetry = C2/m (12)
density = 14.672 g cm⁻³

=====

A relaxed BeHg2Pt crystal. Source: Alexandria, functional PBEsol.

a b c (Å): 2.884 2.884 8.103
angles (deg): 90.00 90.00 90.00
Fractional positions:
Be: 0.000 0.000 0.000
Hg: 0.000 0.000 0.585
Hg: 0.500 0.500 0.254
Pt: 0.500 0.500 0.865

M_tot = 0.00 μB/cell
energy above the lowest structure with this stoichiometry = 0 meV per atom
calculated formation energy = -0.13 eV per atom
symmetry = P4mm (99)
density = 14.912 g cm⁻³

=====

A relaxed BeHgPt crystal. Source: Alexandria, functional PBEsol.

a b c (Å): 5.296 5.296 5.296
angles (deg): 149.17 143.92 48.17
Fractional positions:
Be: 0.000 0.000 0.000
Hg: 0.297 0.297 0.000
Pt: 0.587 0.587 0.000

M_tot = 0.00 μB/cell
energy above the lowest structure with this stoichiometry = 0 meV per atom
calculated formation energy = -0.23 eV per atom
symmetry = Imm2 (44)
density = 15.054 g cm⁻³

=====

A relaxed BeHgPt2 crystal. Source: Alexandria, functional PBEsol.

a b c (Å): 2.821 2.821 7.160
angles (deg): 90.00 90.00 90.00
Fractional positions:
Be: 0.000 0.000 0.000
Hg: 0.000 0.000 0.500
Pt: 0.500 0.500 0.195
Pt: 0.500 0.500 0.805

M_tot = 0.00 μB/cell
calculated formation energy = -0.41 eV per atom
symmetry = P4/mmm (123)
density = 17.476 g cm⁻³

=====

A relaxed Be3HgPt crystal. Source: Alexandria, functional PBEsol.

a b c (Å): 4.274 4.274 4.274
angles (deg): 90.00 90.00 90.00
Fractional positions:
Be: 0.000 0.000 0.500
Be: 0.000 0.500 0.000
Be: 0.500 0.000 0.000
Hg: 0.000 0.000 0.000
Pt: 0.500 0.500 0.500

M_tot = 0.00 μB/cell
calculated formation energy = 1.03 eV per atom
symmetry = Pm-3m (221)
density = 8.988 g cm⁻³

=====

A relaxed BeHg2Pt crystal. Source: Alexandria, functional PBEsol.

a b c (Å): 4.530 4.530 4.530
angles (deg): 60.00 60.00 60.00
Fractional positions:
Be: 0.000 0.000 0.000
Hg: 0.250 0.250 0.250
Hg: 0.500 0.500 0.500
Pt: 0.750 0.750 0.750

M_tot = 0.00 μB/cell
energy above the lowest structure with this stoichiometry = 363 meV per atom
calculated formation energy = 0.23 eV per atom
symmetry = F-43m (216)
density = 15.286 g cm⁻³

=====

A relaxed BeHg2Pt crystal. Source: Alexandria, functional PBEsol.

a b c (Å): 5.050 5.050 5.050
angles (deg): 134.16 134.16 66.84
Fractional positions:
Be: 0.000 0.000 0.000
Hg: 0.500 0.500 0.000
Hg: 0.750 0.250 0.500
Pt: 0.250 0.750 0.500

M_tot = 0.00 μB/cell
energy above the lowest structure with this stoichiometry = 289 meV per atom
calculated formation energy = 0.16 eV per atom
symmetry = I-4m2 (119)
density = 15.413 g cm⁻³

=====

A relaxed RbBeHg2Se crystal. Source: Alexandria, functional PBEsol.

a b c (Å): 6.326 6.326 6.155
angles (deg): 90.00 90.00 90.00
Fractional positions:
Rb: 0.000 0.000 0.000
Be: 0.000 0.000 0.500
Hg: 0.000 0.500 0.000
Hg: 0.500 0.000 0.000
Se: 0.500 0.500 0.500

M_tot = 1.00 μB/cell
energy relative to the elements, uncorrected = 1.194 eV/atom
symmetry = P4/mmm (123)
density = 3.874 g cm⁻³

=====

A relaxed RbBe2HgW crystal. Source: Alexandria, functional PBEsol.

a b c (Å): 4.624 4.624 5.405
angles (deg): 90.00 90.00 90.00
Fractional positions:
Rb: 0.000 0.000 0.000
Be: 0.000 0.500 0.500
Be: 0.500 0.000 0.500
Hg: 0.500 0.500 0.500
W: 0.500 0.500 0.000

M_tot = 3.74 μB/cell
calculated formation energy = 1.68 eV per atom
symmetry = P4/mmm (123)
density = 7.010 g cm⁻³

=====

A relaxed BeReTcHg2 crystal. Source: Alexandria, functional PBEsol.

a b c (Å): 5.032 5.032 4.049
angles (deg): 90.00 90.00 90.00
Fractional positions:
Be: 0.000 0.000 0.000
Re: 0.500 0.500 0.000
Tc: 0.000 0.000 0.500
Hg: 0.000 0.500 0.500
Hg: 0.500 0.000 0.500

M_tot = 4.27 μB/cell
calculated formation energy = 2.00 eV per atom
symmetry = P4/mmm (123)
density = 11.246 g cm⁻³

=====

A relaxed BeHg2Rh crystal. Source: Alexandria, functional PBEsol.

a b c (Å): 5.325 5.325 5.325
angles (deg): 145.90 131.58 60.55
Fractional positions:
Be: 0.000 0.000 0.000
Hg: 0.247 0.747 0.500
Hg: 0.538 0.538 0.000
Rh: 0.828 0.328 0.500

M_tot = 0.00 μB/cell
calculated formation energy = 0.06 eV per atom
symmetry = Imm2 (44)
density = 13.583 g cm⁻³

=====

A relaxed BeHg2Rh crystal. Source: Alexandria, functional PBEsol.

a b c (Å): 4.050 4.050 3.820
angles (deg): 90.00 90.00 90.00
Fractional positions:
Be: 0.000 0.000 0.000
Hg: 0.000 0.500 0.500
Hg: 0.500 0.000 0.500
Rh: 0.500 0.500 0.000

M_tot = 0.00 μB/cell
calculated formation energy = 0.18 eV per atom
symmetry = P4/mmm (123)
density = 13.598 g cm⁻³